The following is a DFT calculation (PBE) of a relaxed Pm8AlCu2 crystal.

Properties
Energy of formation from the pure elements = -0.021 eV per atom
ρ = 6.886 Mg/m³
DFT total energy = -4.561 eV per atom

a b c (Å): 8.8403 13.8171 5.4241
angles (deg): 90.00 106.94 90.00
Space group Cm (No. 8)
Unique sites:
Pm1 0.0000 0.0000 0.0000 x2
Pm2 0.0850 0.3795 0.7680 x4
Pm3 0.1913 0.1208 0.6104 x4
Pm4 0.2768 0.5000 0.3776 x2
Pm5 0.3890 0.2391 0.1891 x4
Al1 0.3885 0.0000 0.1889 x2
Cu1 0.3871 0.3111 0.6882 x4